The following is a DFT calculation (PBE) of crystalline La3BiH3 at its relaxed geometry.

```
La3BiH3
1.0
3.617 2.088 7.386
-3.617 2.088 7.386
0.000 -4.176 7.386
La Bi H
6 2 6
direct
0.068 0.402 0.733 La
0.267 0.932 0.598 La
0.402 0.733 0.068 La
0.598 0.267 0.932 La
0.733 0.068 0.402 La
0.932 0.598 0.267 La
0.166 0.166 0.166 Bi
0.834 0.834 0.834 Bi
0.039 0.713 0.371 H
0.287 0.629 0.961 H
0.371 0.039 0.713 H
0.629 0.961 0.287 H
0.713 0.371 0.039 H
0.961 0.287 0.629 H
```

Results
- DOS at the Fermi energy (states/eV per atom) = 0.245
- VASP energy (eV/atom) = -4.728
- polymorph energy (0 for the lowest one) (eV/atom) = 0.000
- space group = R-3 (148)

The following is a DFT calculation (PBE) of crystalline LaBiH2 at its relaxed geometry.

```
LaBiH2
1.0
-2.390 2.390 6.815
2.390 -2.390 6.815
2.390 2.390 -6.815
La Bi H
2 2 4
direct
0.000 0.000 0.000 La
0.750 0.250 0.500 La
0.250 0.750 0.500 Bi
0.500 0.500 0.000 Bi
0.059 0.625 0.934 H
0.375 0.309 0.434 H
0.691 0.125 0.066 H
0.875 0.941 0.566 H
```

Results
- DOS at the Fermi energy (states/eV per atom) = 0.001
- VASP energy (eV/atom) = -4.138
- polymorph energy (0 for the lowest one) (eV/atom) = 0.000
- space group = I-42d (122)

The following is a DFT calculation (PBE) of crystalline La4Bi3H at its relaxed geometry.

```
La4Bi3H
1.0
12.957 0.000 0.000
0.000 6.577 0.000
0.000 0.000 6.572
La Bi H
8 6 2
direct
0.000 0.179 0.000 La
0.000 0.748 0.563 La
0.248 0.243 0.502 La
0.252 0.757 0.002 La
0.500 0.252 0.063 La
0.500 0.821 0.500 La
0.748 0.757 0.002 La
0.752 0.243 0.502 La
0.000 0.249 0.500 Bi
0.249 0.257 0.003 Bi
0.251 0.743 0.503 Bi
0.500 0.751 0.000 Bi
0.749 0.743 0.503 Bi
0.751 0.257 0.003 Bi
0.000 0.826 0.918 H
0.500 0.174 0.418 H
```

Results
- DOS at the Fermi energy (states/eV per atom) = 0.822
- VASP energy (eV/atom) = -5.094
- space group = Pmn2_1 (31)

The following is a DFT calculation (PBE) of crystalline La2Bi4H at its relaxed geometry.

```
La2Bi4H
1.0
-2.350 2.350 9.280
2.350 -2.350 9.280
2.350 2.350 -9.280
La Bi H
2 4 1
direct
0.150 0.150 0.000 La
0.850 0.850 0.000 La
0.000 0.500 0.500 Bi
0.328 0.328 0.000 Bi
0.500 0.000 0.500 Bi
0.672 0.672 0.000 Bi
0.500 0.500 0.000 H
```

Results
- DOS at the Fermi energy (states/eV per atom) = 0.662
- VASP energy (eV/atom) = -4.515
- space group = I4/mmm (139)

Calculated values (μB per formula unit) of total magnetic moment for the records, taken in order: 0.5; 0.0; 0.0; 0.0.